# 1
# PBE CdTcTe2, relaxed
data_CdTcTe2
_cell_length_a 7.397
_cell_length_b 3.369
_cell_length_c 8.293
_cell_angle_alpha 90.00
_cell_angle_beta 94.36
_cell_angle_gamma 90.00
_space_group_name_H-M_alt 'C 1 2/m 1'
_space_group_IT_number 12
_space_group_name_Hall '-C 2y'
loop_
_atom_site_label
_atom_site_type_symbol
_atom_site_fract_x
_atom_site_fract_y
_atom_site_fract_z
_atom_site_occupancy
Cd1 Cd 0.000 0.000 0.000 1
Tc1 Tc 0.000 0.500 0.500 1
Te1 Te 0.213 0.000 0.685 1
# energy relative to the elements, uncorrected = 0.07 eV per atom

# 2
# PBE CdTcTe2, relaxed
data_CdTcTe2
_cell_length_a 4.084
_cell_length_b 4.084
_cell_length_c 12.508
_cell_angle_alpha 90.00
_cell_angle_beta 90.00
_cell_angle_gamma 90.00
_space_group_name_H-M_alt 'I -4 m 2'
_space_group_IT_number 119
_space_group_name_Hall 'I -4 -2'
loop_
_atom_site_label
_atom_site_type_symbol
_atom_site_fract_x
_atom_site_fract_y
_atom_site_fract_z
_atom_site_occupancy
Cd1 Cd 0.000 0.000 0.000 1
Tc1 Tc 0.000 0.500 0.750 1
Te1 Te 0.000 0.000 0.500 1
Te2 Te 0.000 0.500 0.250 1
# energy relative to the elements, uncorrected = 0.63 eV per atom

# 3
# PBE CdTcTe2, relaxed
data_CdTcTe2
_cell_length_a 3.7739
_cell_length_b 3.7739
_cell_length_c 24.9811
_cell_angle_alpha 90.00
_cell_angle_beta 90.00
_cell_angle_gamma 120.00
_space_group_name_H-M_alt 'R -3 m'
_space_group_IT_number 166
_space_group_name_Hall '-R 3 2"'
loop_
_atom_site_label
_atom_site_type_symbol
_atom_site_fract_x
_atom_site_fract_y
_atom_site_fract_z
_atom_site_occupancy
Cd1 Cd 0.0000 0.0000 0.0000 1
Tc1 Tc 0.0000 0.0000 0.5000 1
Te1 Te 0.0000 0.0000 0.2322 1
# energy relative to the elements, uncorrected = 0.08 eV per atom

# 4
# PBE CdTcTe2, relaxed
data_CdTcTe2
_cell_length_a 3.226
_cell_length_b 3.226
_cell_length_c 9.394
_cell_angle_alpha 90.00
_cell_angle_beta 90.00
_cell_angle_gamma 90.00
_space_group_name_H-M_alt 'P 4 m m'
_space_group_IT_number 99
_space_group_name_Hall 'P 4 -2'
loop_
_atom_site_label
_atom_site_type_symbol
_atom_site_fract_x
_atom_site_fract_y
_atom_site_fract_z
_atom_site_occupancy
Cd1 Cd 0.000 0.000 0.000 1
Tc1 Tc 0.500 0.500 0.202 1
Te1 Te 0.000 0.000 0.356 1
Te2 Te 0.500 0.500 0.723 1
# energy relative to the elements, uncorrected = 0.10 eV per atom

# 5
# PBE CdTcTe2, relaxed
data_CdTcTe2
_cell_length_a 3.3556
_cell_length_b 3.3556
_cell_length_c 32.0367
_cell_angle_alpha 90.00
_cell_angle_beta 90.00
_cell_angle_gamma 120.00
_space_group_name_H-M_alt 'R -3 m'
_space_group_IT_number 166
_space_group_name_Hall '-R 3 2"'
loop_
_atom_site_label
_atom_site_type_symbol
_atom_site_fract_x
_atom_site_fract_y
_atom_site_fract_z
_atom_site_occupancy
Cd1 Cd 0.0000 0.0000 0.0000 1
Tc1 Tc 0.0000 0.0000 0.5000 1
Te1 Te 0.0000 0.0000 0.1069 1
# energy relative to the elements, uncorrected = 0.09 eV per atom

# 6
# PBE CdTcTe2, relaxed
data_CdTcTe2
_cell_length_a 6.446
_cell_length_b 6.446
_cell_length_c 12.128
_cell_angle_alpha 90.00
_cell_angle_beta 90.00
_cell_angle_gamma 90.00
_space_group_name_H-M_alt 'I -4 2 d'
_space_group_IT_number 122
_space_group_name_Hall 'I -4 2bw'
loop_
_atom_site_label
_atom_site_type_symbol
_atom_site_fract_x
_atom_site_fract_y
_atom_site_fract_z
_atom_site_occupancy
Cd1 Cd 0.000 0.000 0.000 1
Tc1 Tc 0.000 0.000 0.500 1
Te1 Te 0.206 0.250 0.625 1
# energy relative to the elements, uncorrected = 0.21 eV per atom

# 7
# PBE CdTc2Te, relaxed
data_CdTc2Te
_cell_length_a 3.235
_cell_length_b 4.985
_cell_length_c 9.039
_cell_angle_alpha 90.00
_cell_angle_beta 90.00
_cell_angle_gamma 90.00
_space_group_name_H-M_alt 'I m m m'
_space_group_IT_number 71
_space_group_name_Hall '-I 2 2'
loop_
_atom_site_label
_atom_site_type_symbol
_atom_site_fract_x
_atom_site_fract_y
_atom_site_fract_z
_atom_site_occupancy
Cd1 Cd 0.000 0.000 0.000 1
Tc1 Tc 0.000 0.500 0.228 1
Te1 Te 0.000 0.000 0.500 1
# distance to the lowest polymorph of the same formula = 458 meV/atom
# energy relative to the elements, uncorrected = 0.68 eV per atom

# 8
# PBE CdTc2Te, relaxed
data_CdTc2Te
_cell_length_a 4.185
_cell_length_b 4.185
_cell_length_c 19.354
_cell_angle_alpha 90.00
_cell_angle_beta 90.00
_cell_angle_gamma 90.00
_space_group_name_H-M_alt 'I -4 2 d'
_space_group_IT_number 122
_space_group_name_Hall 'I -4 2bw'
loop_
_atom_site_label
_atom_site_type_symbol
_atom_site_fract_x
_atom_site_fract_y
_atom_site_fract_z
_atom_site_occupancy
Cd1 Cd 0.000 0.000 0.000 1
Tc1 Tc 0.151 0.250 0.625 1
Te1 Te 0.000 0.000 0.500 1
# distance to the lowest polymorph of the same formula = 491 meV/atom
# energy relative to the elements, uncorrected = 0.71 eV per atom

# 9
# PBE CdTc3Te, relaxed
data_CdTc3Te
_cell_length_a 4.845
_cell_length_b 4.845
_cell_length_c 4.845
_cell_angle_alpha 90.00
_cell_angle_beta 90.00
_cell_angle_gamma 90.00
_space_group_name_H-M_alt 'P m -3 m'
_space_group_IT_number 221
_space_group_name_Hall '-P 4 2 3'
loop_
_atom_site_label
_atom_site_type_symbol
_atom_site_fract_x
_atom_site_fract_y
_atom_site_fract_z
_atom_site_occupancy
Cd1 Cd 0.000 0.000 0.000 1
Tc1 Tc 0.000 0.500 0.500 1
Te1 Te 0.500 0.500 0.500 1
# distance to the lowest polymorph of the same formula = 0 meV/atom
# energy relative to the elements, uncorrected = 1.56 eV per atom

# 10
# PBE CdTcTe2, relaxed
data_CdTcTe2
_cell_length_a 6.323
_cell_length_b 7.792
_cell_length_c 3.566
_cell_angle_alpha 90.00
_cell_angle_beta 90.00
_cell_angle_gamma 90.00
_space_group_name_H-M_alt 'C m m m'
_space_group_IT_number 65
_space_group_name_Hall '-C 2 2'
loop_
_atom_site_label
_atom_site_type_symbol
_atom_site_fract_x
_atom_site_fract_y
_atom_site_fract_z
_atom_site_occupancy
Cd1 Cd 0.000 0.000 0.000 1
Tc1 Tc 0.000 0.500 0.000 1
Te1 Te 0.250 0.250 0.500 1
# energy relative to the elements, uncorrected = 0.54 eV per atom

# 11
# PBE CdTc2Te, relaxed
data_CdTc2Te
_cell_length_a 9.939
_cell_length_b 3.163
_cell_length_c 4.921
_cell_angle_alpha 90.00
_cell_angle_beta 111.35
_cell_angle_gamma 90.00
_space_group_name_H-M_alt 'C 1 m 1'
_space_group_IT_number 8
_space_group_name_Hall 'C -2y'
loop_
_atom_site_label
_atom_site_type_symbol
_atom_site_fract_x
_atom_site_fract_y
_atom_site_fract_z
_atom_site_occupancy
Cd1 Cd 0.000 0.000 0.000 1
Tc1 Tc 0.250 0.500 0.115 1
Tc2 Tc 0.462 0.000 0.475 1
Te1 Te 0.215 0.000 0.643 1
# distance to the lowest polymorph of the same formula = 254 meV/atom
# energy relative to the elements, uncorrected = 0.47 eV per atom

# 12
# PBE CdTcTe, relaxed
data_CdTcTe
_cell_length_a 3.272
_cell_length_b 5.331
_cell_length_c 15.311
_cell_angle_alpha 90.00
_cell_angle_beta 90.00
_cell_angle_gamma 90.00
_space_group_name_H-M_alt 'F m m 2'
_space_group_IT_number 42
_space_group_name_Hall 'F 2 -2'
loop_
_atom_site_label
_atom_site_type_symbol
_atom_site_fract_x
_atom_site_fract_y
_atom_site_fract_z
_atom_site_occupancy
Cd1 Cd 0.000 0.000 0.000 1
Tc1 Tc 0.000 0.000 0.650 1
Te1 Te 0.000 0.000 0.283 1
# distance to the lowest polymorph of the same formula = 384 meV/atom
# energy relative to the elements, uncorrected = 0.53 eV per atom

# 13
# PBE CdTcTe2, relaxed
data_CdTcTe2
_cell_length_a 3.253
_cell_length_b 4.801
_cell_length_c 12.817
_cell_angle_alpha 90.00
_cell_angle_beta 90.00
_cell_angle_gamma 90.00
_space_group_name_H-M_alt 'I m m m'
_space_group_IT_number 71
_space_group_name_Hall '-I 2 2'
loop_
_atom_site_label
_atom_site_type_symbol
_atom_site_fract_x
_atom_site_fract_y
_atom_site_fract_z
_atom_site_occupancy
Cd1 Cd 0.000 0.000 0.000 1
Tc1 Tc 0.000 0.000 0.500 1
Te1 Te 0.000 0.500 0.168 1
# energy relative to the elements, uncorrected = 0.10 eV per atom

# 14
# PBE CdTcTe2, relaxed
data_CdTcTe2
_cell_length_a 5.441
_cell_length_b 11.077
_cell_length_c 3.818
_cell_angle_alpha 90.00
_cell_angle_beta 90.00
_cell_angle_gamma 90.00
_space_group_name_H-M_alt 'C m m m'
_space_group_IT_number 65
_space_group_name_Hall '-C 2 2'
loop_
_atom_site_label
_atom_site_type_symbol
_atom_site_fract_x
_atom_site_fract_y
_atom_site_fract_z
_atom_site_occupancy
Cd1 Cd 0.000 0.000 0.000 1
Tc1 Tc 0.000 0.500 0.000 1
Te1 Te 0.000 0.334 0.500 1
# energy relative to the elements, uncorrected = 0.19 eV per atom

# 15
# PBE CdTc2Te, relaxed
data_CdTc2Te
_cell_length_a 3.106
_cell_length_b 4.083
_cell_length_c 5.918
_cell_angle_alpha 90.00
_cell_angle_beta 103.61
_cell_angle_gamma 90.00
_space_group_name_H-M_alt 'P 1 2/m 1'
_space_group_IT_number 10
_space_group_name_Hall '-P 2y'
loop_
_atom_site_label
_atom_site_type_symbol
_atom_site_fract_x
_atom_site_fract_y
_atom_site_fract_z
_atom_site_occupancy
Cd1 Cd 0.000 0.000 0.000 1
Tc1 Tc 0.368 0.500 0.730 1
Te1 Te 0.000 0.000 0.500 1
# distance to the lowest polymorph of the same formula = 396 meV/atom
# energy relative to the elements, uncorrected = 0.61 eV per atom